Entry 1:
# ReW3C

An optimized crystal structure of ReW3C (PBE, Alexandria via LeMat-Bulk).

POSCAR file:
```
ReW3C
1.0
4.748 0.000 0.000
0.000 4.748 0.000
0.000 0.000 4.748
Re C W
1 1 3
Direct
0.000 0.000 0.000
0.500 0.500 0.500
0.000 0.500 0.000
0.000 0.000 0.500
0.500 0.000 0.000
```

Computed properties:
As for the density of states at the Fermi level: 1.235 states/eV per atom. The value obtained for the energy above the most stable polymorph in this dataset is 3.083 eV/atom. The calculation puts the volume at 21.410 A^3/atom. The calculation puts the energy of formation at 3.31 eV/atom. Its crystal system is cubic.



Entry 2:
# BaC3

An optimized crystal structure of BaC3 (PBE, Alexandria via LeMat-Bulk).

POSCAR file:
```
BaC3
1.0
4.838 0.000 0.000
0.000 8.435 0.000
0.000 0.000 7.631
C Ba
12 4
Direct
0.010 0.026 0.750
0.510 0.474 0.250
0.490 0.526 0.750
0.990 0.974 0.250
0.534 0.459 0.077
0.034 0.041 0.923
0.966 0.959 0.423
0.466 0.541 0.577
0.466 0.541 0.923
0.966 0.959 0.077
0.034 0.041 0.577
0.534 0.459 0.423
0.515 0.207 0.750
0.015 0.293 0.250
0.985 0.707 0.750
0.485 0.793 0.250
```

Computed properties:
As for the density of states at the Fermi level: 0.117 states/eV per atom. The value obtained for the energy above the most stable polymorph in this dataset is 0.000 eV/atom. The calculation puts the volume at 19.461 A^3/atom. The calculation puts the energy of formation at 0.27 eV/atom. Its crystal system is orthorhombic.